No. 1
This record from the Alexandria database describes crystalline GdNiP2 at its relaxed geometry. The functional is PBE.

## Properties
crystal system	trigonal
volume	20.8	Å³ per atom
formation energy from the elements	-0.198	eV per atom
Fermi-level density of states	0.574	states/eV/atom

```
GdNiP2
1.0
3.647 0.000 0.000
1.824 3.159 0.000
1.824 1.053 7.223
Ni Gd P
1 1 2
Direct
0.500 0.500 0.500
0.000 0.000 0.000
0.128 0.128 0.616
0.872 0.872 0.384
```

---

No. 2
This record from the Alexandria database describes crystalline Ga8Ag3 at its relaxed geometry. The functional is PBE.

## Properties
crystal system	trigonal
volume	20.2	Å³ per atom
formation energy from the elements	0.043	eV per atom
Fermi-level density of states	0.291	states/eV/atom

```
Ga8Ag3
1.0
-0.875 1.049 -5.900
-4.568 -3.977 -0.029
-3.879 4.446 1.366
Ga Ag
8 3
Direct
0.773 0.226 0.226
0.226 0.226 0.773
0.226 0.773 0.226
0.226 0.226 0.226
0.774 0.774 0.774
0.774 0.227 0.774
0.774 0.774 0.227
0.227 0.774 0.774
0.500 0.000 0.500
0.000 0.500 0.500
0.500 0.500 0.000
```

---

No. 3
This record from the Alexandria database describes crystalline Cs2InGaTe4 at its relaxed geometry. The functional is PBE.

## Properties
crystal system	orthorhombic
volume	45.5	Å³ per atom
E_form (uncorrected)	-719	meV/atom

```
Cs2InGaTe4
1.0
6.946 0.000 0.000
3.473 7.818 0.000
3.473 0.000 13.420
Cs In Ga Te
4 2 2 8
Direct
0.183 0.000 0.633
0.817 0.000 0.367
0.567 0.500 0.867
0.933 0.500 0.133
0.750 0.500 0.500
0.000 0.000 0.000
0.250 0.500 0.500
0.500 0.000 0.000
0.305 0.807 0.113
0.226 0.193 0.887
0.887 0.807 0.887
0.582 0.193 0.113
0.445 0.693 0.387
0.524 0.307 0.613
0.863 0.693 0.613
0.168 0.307 0.387
```

---

No. 4
This record from the Alexandria database describes crystalline MgP2CCl at its relaxed geometry. The functional is PBE.

## Properties
crystal system	tetragonal
volume	18.2	Å³ per atom
ΔE to the lowest computed polymorph	0.000	eV/atom
Fermi-level density of states	0.243	states/eV/atom
E_form (uncorrected)	592	meV/atom

```
MgP2CCl
1.0
3.793 0.000 0.000
0.000 3.793 0.000
0.000 0.000 6.333
P Mg C Cl
2 1 1 1
Direct
0.000 0.500 0.000
0.500 0.000 0.000
0.500 0.500 0.500
0.000 0.000 0.000
0.000 0.000 0.500
```

---

No. 5
This record from the Alexandria database describes crystalline Sn3F8 at its relaxed geometry. The functional is PBE.

## Properties
crystal system	monoclinic
volume	17.1	Å³ per atom
Fermi-level density of states	0.000	states/eV/atom
E_form (uncorrected)	-2402	meV/atom

```
Sn3F8
1.0
-0.296 -5.159 1.844
-0.821 -1.788 -5.134
11.501 -2.991 -6.520
Sn F
6 16
Direct
0.445 0.373 0.166
0.945 0.627 0.334
0.555 0.627 0.834
0.055 0.373 0.666
0.500 0.000 0.500
0.000 0.000 0.000
0.107 0.416 0.246
0.607 0.584 0.254
0.893 0.584 0.754
0.393 0.416 0.746
0.301 0.327 0.463
0.801 0.673 0.037
0.029 0.012 0.850
0.529 0.988 0.650
0.971 0.988 0.150
0.471 0.012 0.350
0.195 0.776 0.547
0.695 0.224 0.953
0.805 0.224 0.453
0.305 0.776 0.047
0.199 0.327 0.963
0.699 0.673 0.537
```

---

No. 6
This record from the Alexandria database describes crystalline MnCdP2 at its relaxed geometry. The functional is PBE.

## Properties
crystal system	monoclinic
volume	17.8	Å³ per atom
formation energy from the elements	0.069	eV per atom
Fermi-level density of states	0.462	states/eV/atom

```
MnCdP2
1.0
-2.852 -1.729 -0.950
1.927 -1.604 -2.866
2.436 -4.941 1.677
Cd Mn P
1 1 2
Direct
0.500 0.250 0.250
0.500 0.750 0.750
0.000 0.015 0.930
0.000 0.485 0.570
```

---

no.,energy (eV per atom),M_tot (μB/cell)
1,-7.869,7.234
2,-2.936,0.000
3,-3.224,0.000
4,-4.105,0.000
5,-4.854,0.000
6,-5.157,3.139